Entry from the Alexandria database: an optimized crystal structure of CsAgSb2 (PBE).

The structure in POSCAR format:
```
CsAgSb2
1.0
5.589 0.000 0.000
2.795 4.840 0.000
2.795 1.613 4.564
Cs Sb Ag
1 2 1
direct
0.500 0.500 0.500 Cs
0.250 0.250 0.250 Sb
0.750 0.750 0.750 Sb
0.000 0.000 0.000 Ag
```

Calculated values
Its formation energy without anion corrections is 360 meV per atom. The size of the total moment is 0.00 μB/cell. The calculation puts the calculated total energy at -2.627 eV per atom. Its energy above the most stable polymorph in this dataset is 0.434 eV/atom.